VASP calculation (PBE) on crystalline SbPt2W at its relaxed geometry.

Summary:
Raw formation energy   0.19 eV per atom
Total moment   0.0 μB/cell
V   17.23 Å³ per atom

Geometry as extended XYZ:
```
4
Lattice="4.591 -0.209 0.000 0.172 4.593 0.000 -2.382 -2.192 3.263" Properties=species:S:1:pos:R:3 pbc="T T T"
Sb 2.382 2.192 0.000
Pt 0.000 0.000 0.000
W 2.296 -0.105 1.631
Pt 0.086 2.296 1.631
```